No. 1
Density functional theory data (GGA-PBE) for a relaxed structure of ZrPb2.

Unit cell a=5.2976 b=5.2976 c=3.2293 alpha=90.00 beta=90.00 gamma=90.00
Closest atoms and distances in Å follow each position.
Fractional positions:
Pb1 0.0000 0.5000 0.5000  4 Zr 3.10, 2 Pb 3.23
Pb2 0.5000 0.0000 0.5000  4 Zr 3.10, 2 Pb 3.23
Zr1 0.0000 0.0000 0.0000  8 Pb 3.10, 2 Zr 3.23

Summary:
Magnetic moment: 0.00 μB/cell
ΔE_f: -0.02 eV/atom
V: 30.209 Å³ per atom

No. 2
Density functional theory data (GGA-PBE) for a relaxed structure of Zn2ReSi.

Unit cell a=2.6488 b=2.6488 c=8.5353 alpha=90.00 beta=90.00 gamma=90.00
Closest atoms and distances in Å follow each position.
Fractional positions:
Re1 0.5000 0.5000 0.2500  4 Re 2.65, 8 Zn 2.78
Si1 0.5000 0.5000 0.7500  4 Si 2.65, 8 Zn 2.89
Zn1 0.0000 0.0000 0.0085  4 Zn 2.65, 4 Re 2.78, 4 Si 2.89
Zn2 0.0000 0.0000 0.4915  4 Zn 2.65, 4 Re 2.78, 4 Si 2.89

Summary:
Magnetic moment: 0.00 μB/cell
Uncorrected formation energy: 0.38 eV/atom
V: 14.972 Å³ per atom

No. 3
Density functional theory data (GGA-PBE) for a relaxed structure of Tc2AsPb.

Unit cell a=4.9371 b=4.9371 c=4.9371 alpha=129.06 beta=129.06 gamma=74.92
Closest atoms and distances in Å follow each position.
Fractional positions:
Pb1 0.7500 0.2500 0.5000  4 As 2.89, 8 Tc 2.89-3.00
As1 0.5000 0.5000 0.0000  4 Pb 2.89, 8 Tc 2.89-3.00
Tc1 0.0000 0.0000 0.0000  4 Tc 2.89, 4 Pb 2.89, 4 As 3.00
Tc2 0.2500 0.7500 0.5000  4 Tc 2.89, 4 As 2.89, 4 Pb 3.00

Summary:
Magnetic moment: 0.00 μB/cell
ΔE_f: 0.69 eV/atom
V: 17.667 Å³ per atom
ΔE to the lowest computed polymorph: 0.551 eV/atom

No. 4
Density functional theory data (GGA-PBE) for a relaxed structure of Zn3MoP.

Unit cell a=4.5793 b=4.5793 c=4.5793 alpha=90.00 beta=90.00 gamma=90.00
Closest atoms and distances in Å follow each position.
Fractional positions:
P1 0.0000 0.0000 0.0000  6 Zn 2.29
Mo1 0.5000 0.5000 0.5000  12 Zn 3.24
Zn1 0.0000 0.5000 0.0000  2 P 2.29
Zn2 0.0000 0.0000 0.5000  2 P 2.29
Zn3 0.5000 0.0000 0.0000  2 P 2.29

Summary:
Magnetic moment: 3.16 μB/cell
ΔE_f: 0.99 eV/atom
V: 19.206 Å³ per atom
ΔE to the lowest computed polymorph: 0.000 eV/atom